[1]
Here is a relaxed structure of PdI2Cl from Alexandria via LeMat-Bulk. Energies are from GGA-PBE.

Summary:
Symmetry = P2_1/m, No. 11
Size of the total moment = 0.000 μB/f.u.
V = 290.13 Å³/cell
Formation energy (no corrections) = -0.4 eV per formula unit

Cell lengths 4.0710, 8.7455, 8.8368 Å; angles 67.25, 90.00, 90.00 degrees
With the nearest neighbours (Å) after each atom.
Element x y z (fractional)
I 0.4225 0.7921 0.7900  2 Pd 2.65, 1 Cl 2.74
Cl 0.4227 0.7515 0.4973  2 I 2.74-2.81
I 0.9225 0.2079 0.2100  2 Pd 2.65, 1 Cl 2.74
Cl 0.9227 0.2485 0.5027  2 I 2.74-2.81
I 0.4225 0.7097 0.1976  2 Pd 2.65, 1 Cl 2.81
Pd 0.9225 0.7467 0.9942  4 I 2.65
Pd 0.4225 0.2533 0.0058  4 I 2.65
I 0.9225 0.2903 0.8024  2 Pd 2.65, 1 Cl 2.81


[2]
Here is a relaxed structure of Pd3ICl from Alexandria via LeMat-Bulk. Energies are from GGA-PBE.

Summary:
Symmetry = Pm-3m, No. 221
Size of the total moment = 0.000 μB/f.u.
V = 129.83 Å³/cell
Formation energy (no corrections) = 2.7 eV per formula unit

Cell lengths 5.0636, 5.0636, 5.0636 Å; angles 90.00, 90.00, 90.00 degrees
With the nearest neighbours (Å) after each atom.
Element x y z (fractional)
Pd 0.0000 0.5000 0.0000  2 I 2.53
Pd 0.5000 0.0000 0.0000  2 I 2.53
I 0.0000 0.0000 0.0000  6 Pd 2.53
Cl 0.5000 0.5000 0.5000  12 Pd 3.58
Pd 0.0000 0.0000 0.5000  2 I 2.53


[3]
Here is a relaxed structure of PdI3Cl9 from Alexandria via LeMat-Bulk. Energies are from GGA-PBE.

Summary:
Symmetry = Cc, No. 9
Size of the total moment = 0.000 μB/f.u.
V = 939.12 Å³/cell
Formation energy (no corrections) = -2.6 eV per formula unit

Cell lengths 11.1079, 12.2827, 10.4215 Å; angles 52.69, 57.80, 63.12 degrees
With the nearest neighbours (Å) after each atom.
Element x y z (fractional)
Cl 0.1612 0.9185 0.3457  1 I 2.46
I 0.9302 0.9786 0.3174  2 Cl 2.46-2.67
Cl 0.6125 0.7914 0.6600  1 Pd 2.30
Cl 0.9360 0.2914 0.1600  1 Pd 2.30
I 0.5721 0.2243 0.7406  2 Cl 2.36-2.57
Cl 0.5270 0.1100 0.6330  1 Pd 2.49, 1 I 2.57
Pd 0.4786 0.0045 0.5262  5 Cl 2.30-2.49
Cl 0.3539 0.3909 0.7350  1 I 2.36
Cl 0.8060 0.9877 0.7671  1 I 2.54
Cl 0.5746 0.4185 0.8457  1 I 2.46
I 0.2144 0.4646 0.2841  4 Cl 2.44-2.73
I 0.4630 0.7243 0.2406  2 Cl 2.36-2.57
Pd 0.9907 0.5045 0.0262  5 Cl 2.30-2.50
Cl 0.0926 0.6975 0.2524  1 I 2.44
Cl 0.6825 0.0634 0.2706  1 Pd 2.34
Cl 0.1198 0.6946 0.8516  1 Pd 2.43
Cl 0.7300 0.6100 0.1330  1 Pd 2.50, 1 I 2.57
Cl 0.4392 0.4877 0.2671  1 I 2.54
I 0.7737 0.4786 0.8174  2 Cl 2.46-2.67
Cl 0.2789 0.9318 0.7941  1 Pd 2.38, 1 I 2.58
Cl 0.9952 0.4318 0.2941  1 Pd 2.38, 1 I 2.58
Cl 0.9835 0.5634 0.7706  1 Pd 2.34
I 0.0370 0.9646 0.7841  4 Cl 2.44-2.73
Cl 0.5203 0.8909 0.2350  1 I 2.36
Cl 0.9575 0.1975 0.7524  1 I 2.44
Cl 0.3341 0.1946 0.3515  1 Pd 2.43


[4]
Here is a relaxed structure of PdICl6 from Alexandria via LeMat-Bulk. Energies are from GGA-PBE.

Summary:
Symmetry = C2/m, No. 12
Size of the total moment = 0.699 μB/f.u.
V = 259.49 Å³/cell
Formation energy (no corrections) = -1.5 eV per formula unit

Cell lengths 7.1046, 6.6106, 6.6106 Å; angles 115.08, 101.93, 101.93 degrees
With the nearest neighbours (Å) after each atom.
Element x y z (fractional)
Cl 0.2905 0.4363 0.1467  1 Pd 2.31
Cl 0.7922 0.2076 0.2076  1 I 2.45
I 0.0000 0.0000 0.0000  2 Cl 2.45
Cl 0.7095 0.8533 0.5637  1 Pd 2.31
Cl 0.7095 0.5637 0.8533  1 Pd 2.31
Pd 0.5000 0.5000 0.5000  4 Cl 2.31
Cl 0.2905 0.1467 0.4363  1 Pd 2.31
Cl 0.2078 0.7924 0.7924  1 I 2.45


[5]
Here is a relaxed structure of PdI2Cl2 from Alexandria via LeMat-Bulk. Energies are from GGA-PBE.

Summary:
Symmetry = Ibam, No. 72
Size of the total moment = 0.000 μB/f.u.
V = 406.00 Å³/cell
Formation energy (no corrections) = 0.0 eV per formula unit

Cell lengths 14.3325, 9.1405, 9.1381 Å; angles 64.46, 141.61, 141.62 degrees
With the nearest neighbours (Å) after each atom.
Element x y z (fractional)
Pd 0.7500 0.7499 0.7502  4 I 2.68, 2 Pd 2.91
I 0.6094 0.6660 0.3343  1 Cl 2.53, 2 Pd 2.68
Cl 0.2172 0.6280 0.3724  1 I 2.54
Pd 0.2500 0.2501 0.2499  4 I 2.68, 2 Pd 2.91
Cl 0.7828 0.3720 0.6276  1 I 2.54
I 0.3906 0.3341 0.6657  1 Cl 2.53, 2 Pd 2.68
I 0.8909 0.1660 0.8342  1 Cl 2.54, 2 Pd 2.68
Cl 0.2829 0.1278 0.8720  1 I 2.53
Cl 0.7171 0.8722 0.1281  1 I 2.53
I 0.1091 0.8340 0.1659  1 Cl 2.54, 2 Pd 2.68


[6]
Here is a relaxed structure of PdI2Cl from Alexandria via LeMat-Bulk. Energies are from GGA-PBE.

Summary:
Symmetry = Pnna, No. 52
Size of the total moment = 0.000 μB/f.u.
V = 509.52 Å³/cell
Formation energy (no corrections) = -0.8 eV per formula unit

Cell lengths 6.5100, 7.0504, 11.1012 Å; angles 90.01, 90.00, 90.00 degrees
With the nearest neighbours (Å) after each atom.
Element x y z (fractional)
I 0.7776 0.4302 0.4162  2 Pd 2.68-2.76
I 0.7775 0.9302 0.5838  2 Pd 2.68-2.76
Pd 0.9999 0.2500 0.5946  2 Cl 2.53, 4 I 2.68-2.76
I 0.2225 0.0698 0.4162  2 Pd 2.68-2.76
Cl 0.7502 0.8733 0.2500  2 Pd 2.53
Pd 0.4999 0.2500 0.9054  2 Cl 2.53, 4 I 2.68-2.76
I 0.7225 0.4302 0.0838  2 Pd 2.68-2.76
I 0.7224 0.9302 0.9162  2 Pd 2.68-2.76
I 0.2224 0.5698 0.5838  2 Pd 2.68-2.76
Pd 0.0001 0.7500 0.4054  2 Cl 2.53, 4 I 2.68-2.76
Cl 0.2502 0.6267 0.2500  2 Pd 2.53
Cl 0.2498 0.1267 0.7500  2 Pd 2.53
I 0.2776 0.0698 0.0838  2 Pd 2.68-2.76
I 0.2775 0.5698 0.9162  2 Pd 2.68-2.76
Cl 0.7498 0.3733 0.7500  2 Pd 2.53
Pd 0.5001 0.7500 0.0946  2 Cl 2.53, 4 I 2.68-2.76